[1]
This record from Alexandria describes Ce3Tl2H2 after structural relaxation. The functional is PBE-GGA.

It has space group C2/m (No. 12), with a = 11.616 Å, b = 3.466 Å, c = 7.982 Å, α = 90.00°, β = 110.22° and γ = 90.00°. The asymmetric unit holds Ce at (0.000, 0.000, 0.000), Ce at (0.189, 0.000, 0.778), Tl at (0.093, 0.500, 0.392) and H at (0.139, 0.500, 0.959).

The calculation puts the total energy at -62.16 eV per cell.

=====

[2]
This record from Alexandria describes Al2CuW after structural relaxation. The functional is PBE-GGA.

It has space group R-3m (No. 166, hexagonal axes), with a = 2.8187 Å, b = 2.8187 Å, c = 25.9618 Å, α = 90.00°, β = 90.00° and γ = 120.00°. The asymmetric unit holds Al at (0.0000, 0.0000, 0.2462), Cu at (0.0000, 0.0000, 0.5000) and W at (0.0000, 0.0000, 0.0000).

The formation energy is -2 kJ/mol of atoms. The energy above the most stable polymorph in this dataset is 25 kJ/mol of formula units.